(1)
DFT (PBE) results for a relaxed structure of ScTe2Pt.

Lattice parameters (Å, degrees): 3.6582 3.6582 6.5105 90.00 90.00 90.00
Space group P4/mmm (No. 123)
Inequivalent atoms, fractional coordinates:
Sc 0.0000 0.0000 0.0000
Te 0.5000 0.5000 0.2507
Pt 0.0000 0.0000 0.5000

Results
As for the formation energy from raw total energies: -1.41 eV per formula unit.

=====

(2)
DFT (PBE) results for a relaxed structure of LiAgHgBi.

Lattice parameters (Å, degrees): 7.0710 7.0710 7.0710 90.00 90.00 90.00
Space group F-43m (No. 216)
Inequivalent atoms, fractional coordinates:
Li 0.0000 0.0000 0.0000
Ag 0.0000 0.0000 0.5000
Hg 0.2500 0.2500 0.7500
Bi 0.2500 0.2500 0.2500

Results
The value obtained for the polymorph energy (0 for the lowest one) is 13.4 meV per atom. As for the energy of formation from the pure elements: -113 meV/atom.

=====

(3)
DFT (PBE) results for a relaxed structure of La2Al4ZnGa3.

Lattice parameters (Å, degrees): 4.3648 4.3648 10.7974 90.00 90.00 90.00
Space group P-4m2 (No. 115)
Inequivalent atoms, fractional coordinates:
La 0.0000 0.5000 0.2451
Al 0.0000 0.0000 0.5000
Al 0.0000 0.5000 0.8710
Al 0.5000 0.5000 0.5000
Zn 0.5000 0.5000 0.0000
Ga 0.0000 0.0000 0.0000
Ga 0.0000 0.5000 0.6366

Results
As for the energy of formation from the pure elements: -460 meV/atom.

=====

no.,total magnetic moment (μB per formula unit),calculated volume (A^3/atom)
1,0.000,21.8
2,0.000,22.1
3,0.000,20.6